# AcCe2PaP4 | the Alexandria database | GGA-PBE | optimized geometry
# Symmetry = I-4m2, No. 119
# Magnetic moment = 1.9 μB per formula unit
# Formation energy from the elements = -1.36 eV/atom
data_AcCe2PaP4
_space_group_name_H-M_alt 'P 1'
_space_group_IT_number 1
_cell_length_a 7.190
_cell_length_b 7.190
_cell_length_c 7.190
_cell_angle_alpha 131.78
_cell_angle_beta 131.78
_cell_angle_gamma 70.58
loop_
_space_group_symop_operation_xyz
'x,y,z'
loop_
_atom_site_label
_atom_site_type_symbol
_atom_site_fract_x
_atom_site_fract_y
_atom_site_fract_z
_atom_site_occupancy
Ac1 Ac 0.000 0.000 0.000 1
Ce1 Ce 0.500 0.500 0.000 1
Ce2 Ce 0.750 0.250 0.500 1
Pa1 Pa 0.250 0.750 0.500 1
P1 P 0.010 0.510 0.500 1
P2 P 0.258 0.258 0.000 1
P3 P 0.490 0.990 0.500 1
P4 P 0.742 0.742 0.000 1